First-principles (GGA-PBE) data for a relaxed structure of Dy2TiPd, as listed in the Alexandria database.

Cell lengths 3.508, 3.508, 7.394 Å; angles 90.00, 90.00, 90.00 degrees
Space group P4/mmm (No. 123)
Unique sites:
Dy  0.000  0.000  0.232 x2
Ti  0.500  0.500  0.500 x1
Pd  0.500  0.500  0.000 x1

Summary:
Final energy in eV per atom: -5.869